Record 1
DFT (PBE-GGA) results for a relaxed structure of SiAsRu2.

The space group is R-3m (No. 166, hexagonal axes) and the conventional cell measures 2.9281, 2.9281 and 22.8884 Å, with angles of 90.00, 90.00 and 120.00 degrees. The asymmetric unit holds Si at (0.0000, 0.0000, 0.0000), As at (0.0000, 0.0000, 0.5000) and Ru at (0.0000, 0.0000, 0.2532).

Record 2
DFT (PBE-GGA) results for a relaxed structure of SiAsRu3.

The space group is Pm-3m (No. 221) and the conventional cell measures 4.402, 4.402 and 4.402 Å, with angles of 90.00, 90.00 and 90.00 degrees. The asymmetric unit holds Si at (0.000, 0.000, 0.000), As at (0.500, 0.500, 0.500) and Ru at (0.000, 0.000, 0.500).

Its energy above the most stable polymorph in this dataset is 0.00 eV/f.u.

Record 3
DFT (PBE-GGA) results for a relaxed structure of Si2AsRu.

The space group is Immm (No. 71) and the conventional cell measures 3.282, 4.769 and 7.677 Å, with angles of 90.00, 90.00 and 90.00 degrees. The asymmetric unit holds Si at (0.000, 0.000, 0.248), As at (0.000, 0.500, 0.500) and Ru at (0.000, 0.500, 0.000).

Record 4
DFT (PBE-GGA) results for a relaxed structure of SiAsRu2.

The space group is C2/m (No. 12) and the conventional cell measures 7.890, 2.912 and 5.038 Å, with angles of 90.00, 102.65 and 90.00 degrees. The asymmetric unit holds Si at (0.000, 0.000, 0.000), As at (0.000, 0.500, 0.500) and Ru at (0.238, 0.500, 0.247).

Record 5
DFT (PBE-GGA) results for a relaxed structure of SiAsRu2.

The space group is Immm (No. 71) and the conventional cell measures 3.026, 4.879 and 7.964 Å, with angles of 90.00, 90.00 and 90.00 degrees. The asymmetric unit holds Si at (0.000, 0.000, 0.000), As at (0.000, 0.000, 0.500) and Ru at (0.000, 0.500, 0.272).

Record 6
DFT (PBE-GGA) results for a relaxed structure of SiAsRu2.

The space group is I-42d (No. 122) and the conventional cell measures 5.423, 5.423 and 10.683 Å, with angles of 90.00, 90.00 and 90.00 degrees. The asymmetric unit holds Si at (0.000, 0.000, 0.000), As at (0.000, 0.000, 0.500) and Ru at (0.240, 0.250, 0.125).

Number 1: uncorrected formation energy -0.1867 eV per atom, Fermi-level density of states 11.19 states/eV/cell. Number 2: uncorrected formation energy 0.7762 eV per atom, Fermi-level density of states 8.97 states/eV/cell. Number 3: uncorrected formation energy 0.2412 eV per atom, Fermi-level density of states 4.71 states/eV/cell. Number 4: uncorrected formation energy -0.1946 eV per atom, Fermi-level density of states 5.29 states/eV/cell. Number 5: uncorrected formation energy 0.0282 eV per atom, Fermi-level density of states 4.68 states/eV/cell. Number 6: uncorrected formation energy 0.1840 eV per atom, Fermi-level density of states 14.29 states/eV/cell.